DFT (GGA-PBE) results for crystalline AgOs at its relaxed geometry.

```
AgOs
1.0
-1.878 1.342 4.137
-3.114 -3.386 -0.315
3.612 -3.582 2.802
Os Ag
4 4
Direct
0.750 0.941 0.357
0.750 0.441 0.143
0.250 0.059 0.643
0.250 0.559 0.857
0.750 0.424 0.630
0.250 0.076 0.130
0.750 0.924 0.870
0.250 0.576 0.370
```

Values from the calculation:
**Offset from the most stable computed form**: 525 meV/atom
**ΔE_f**: 841 meV/atom
**Electronic total energy**: -6.199 eV per atom